Material: VH14C4NO2F3
Method: DFT, PBE+U
State: relaxed

The structure in extended XYZ format:
```
50
Lattice="-6.975 -0.026 0.037 2.477 7.885 0.011 -1.009 -3.659 -8.473" Properties=species:S:1:pos:R:3 pbc="T T T"
V -1.644 1.545 -5.329
V -3.864 2.655 -3.096
H -2.535 -1.225 -3.473
H -3.711 4.669 -7.183
H -1.892 6.279 -0.332
H -4.915 -0.015 -8.364
H -3.616 -2.079 -8.092
H -7.168 -1.706 -7.325
H -6.478 -1.000 -5.201
H -1.387 1.238 -2.813
H -6.067 0.461 -7.059
H -2.464 5.677 -1.928
H -1.366 4.792 -6.606
H -4.966 1.528 -0.139
H -2.973 5.425 -4.952
H -1.797 -0.469 -1.241
H 0.970 5.201 -3.224
H 0.181 1.261 -3.250
H -3.044 -1.477 -6.496
H -4.736 -0.805 -4.807
H -4.121 2.962 -5.612
H 1.660 5.906 -1.099
H 0.559 3.739 -1.365
H -1.212 3.680 -1.667
H -4.296 0.520 -6.757
H -0.542 2.672 -8.285
H -0.772 5.005 -3.618
H -0.592 4.215 -0.061
H -4.142 -0.592 -1.818
H -5.689 2.939 -5.175
C -5.100 -0.004 -7.283
C -0.032 5.626 -3.102
C -1.700 6.272 -1.412
C -5.476 -1.426 -5.323
C -3.808 -2.071 -7.012
C -0.408 4.204 -1.142
C 0.694 6.378 -0.884
C -6.202 -2.178 -7.541
N -0.363 5.622 -1.635
N -5.145 -1.422 -6.789
O -0.743 0.975 -3.531
O -4.765 3.225 -4.893
O -4.160 4.021 -2.217
O -1.347 0.179 -6.207
F -5.376 1.542 -2.620
F -3.303 0.969 -4.398
F -2.808 2.543 -6.555
F -0.131 2.659 -5.805
F -2.700 1.657 -1.869
F -2.205 3.231 -4.026
```

Calculated values
Volume in Å³ per cell: 465.17
E in eV per atom: -5.40